## A
A relaxed structure of CuPd2F6, computed with GGA-PBE.

abc: 7.211 7.211 5.988
angles: 108.05 108.05 78.56
Element x y z (fractional)
Cu 0.000 0.000 0.250
Cu 0.000 0.000 0.750
Pd 0.184 0.343 0.705
Pd 0.343 0.184 0.205
Pd 0.657 0.816 0.795
Pd 0.816 0.657 0.295
F 0.014 0.716 0.159
F 0.016 0.716 0.623
F 0.284 0.984 0.877
F 0.284 0.986 0.341
F 0.375 0.377 0.539
F 0.377 0.375 0.039
F 0.623 0.625 0.961
F 0.625 0.623 0.461
F 0.716 0.014 0.659
F 0.716 0.016 0.123
F 0.984 0.284 0.377
F 0.986 0.284 0.841

N(E_F) in states/eV per cell: 3.216
Total magnetization in μB/f.u.: 1.1



## B
A relaxed structure of CuPd2F6, computed with GGA-PBE.

abc: 4.907 4.907 10.068
angles: 90.00 90.00 90.00
Element x y z (fractional)
Cu 0.000 0.000 0.000
Cu 0.500 0.500 0.500
Pd 0.000 0.000 0.334
Pd 0.000 0.000 0.666
Pd 0.500 0.500 0.166
Pd 0.500 0.500 0.834
F 0.192 0.192 0.159
F 0.192 0.192 0.841
F 0.209 0.209 0.500
F 0.291 0.709 0.000
F 0.308 0.692 0.341
F 0.308 0.692 0.659
F 0.692 0.308 0.341
F 0.692 0.308 0.659
F 0.709 0.291 0.000
F 0.791 0.791 0.500
F 0.808 0.808 0.159
F 0.808 0.808 0.841

N(E_F) in states/eV per cell: 8.759
Total magnetization in μB/f.u.: 2.9



Energies relative to the minimum, meV per atom: A 39; B 0



## A
A relaxed structure of Cu2PdF, computed with GGA-PBE.

abc: 5.207 5.207 5.207
angles: 103.93 103.93 121.24
Element x y z (fractional)
Cu 0.075 0.625 0.950
Cu 0.375 0.325 0.450
Cu 0.675 0.125 0.050
Cu 0.875 0.925 0.550
Pd 0.250 0.750 0.500
Pd 0.500 0.500 0.000
F 0.000 0.000 0.000
F 0.750 0.250 0.500

N(E_F) in states/eV per cell: 2.330
Total magnetization in μB/f.u.: 0.0



## B
A relaxed structure of Cu2PdF, computed with GGA-PBE.

abc: 4.185 4.185 4.185
angles: 60.00 60.00 60.00
Element x y z (fractional)
Cu 0.250 0.250 0.250
Cu 0.750 0.750 0.750
Pd 0.000 0.000 0.000
F 0.500 0.500 0.500

N(E_F) in states/eV per cell: 1.038
Total magnetization in μB/f.u.: 0.0



Energies relative to the minimum, meV per atom: A 0; B 49



## A
A relaxed structure of CuPd2F8, computed with GGA-PBE.

abc: 5.757 5.757 4.975
angles: 100.21 100.21 68.01
Element x y z (fractional)
Cu 0.000 0.000 0.000
Pd 0.266 0.266 0.520
Pd 0.734 0.734 0.480
F 0.095 0.639 0.707
F 0.146 0.146 0.805
F 0.361 0.905 0.293
F 0.385 0.385 0.256
F 0.615 0.615 0.744
F 0.639 0.095 0.707
F 0.854 0.854 0.195
F 0.905 0.361 0.293

N(E_F) in states/eV per cell: 3.132
Total magnetization in μB/f.u.: 1.0



## B
A relaxed structure of CuPd2F8, computed with GGA-PBE.

abc: 6.429 6.429 4.164
angles: 90.00 90.00 120.00
Element x y z (fractional)
Cu 0.000 0.000 0.000
Pd 0.333 0.667 0.758
Pd 0.667 0.333 0.242
F 0.150 0.300 0.759
F 0.150 0.850 0.759
F 0.300 0.150 0.241
F 0.333 0.667 0.259
F 0.667 0.333 0.741
F 0.700 0.850 0.759
F 0.850 0.150 0.241
F 0.850 0.700 0.241

N(E_F) in states/eV per cell: 8.552
Total magnetization in μB/f.u.: 1.9



Energies relative to the minimum, meV per atom: A 0; B 98



## A
A relaxed structure of Rb2CuPtF6, computed with GGA-PBE.

abc: 6.112 6.112 6.112
angles: 121.12 121.12 88.08
Element x y z (fractional)
Rb 0.250 0.750 0.500
Rb 0.750 0.250 0.500
Cu 0.000 0.000 0.000
Pt 0.500 0.500 0.000
F 0.237 0.237 0.474
F 0.237 0.763 0.000
F 0.265 0.265 0.000
F 0.735 0.735 0.000
F 0.763 0.237 0.000
F 0.763 0.763 0.526

N(E_F) in states/eV per cell: 1.560
Total magnetization in μB/f.u.: 0.8



## B
A relaxed structure of Rb2CuPtF6, computed with GGA-PBE.

abc: 10.944 10.944 10.944
angles: 32.22 32.22 32.22
Element x y z (fractional)
Rb 0.129 0.129 0.129
Rb 0.285 0.285 0.285
Rb 0.715 0.715 0.715
Rb 0.871 0.871 0.871
Cu 0.407 0.407 0.407
Cu 0.593 0.593 0.593
Pt 0.000 0.000 0.000
Pt 0.500 0.500 0.500
F 0.140 0.607 0.607
F 0.205 0.205 0.703
F 0.205 0.703 0.205
F 0.297 0.795 0.795
F 0.393 0.393 0.860
F 0.393 0.860 0.393
F 0.607 0.140 0.607
F 0.607 0.607 0.140
F 0.703 0.205 0.205
F 0.795 0.297 0.795
F 0.795 0.795 0.297
F 0.860 0.393 0.393

N(E_F) in states/eV per cell: 5.214
Total magnetization in μB/f.u.: 1.0



Energies relative to the minimum, meV per atom: A 0; B 36